Material: HfTaBi2Rh
Method: DFT, PBE
State: relaxed

Cell: 5.205 4.874 5.205 Å, 90.00 90.00 90.00°
Element x y z (fractional)
Ta1 0.000 0.500 0.000
Rh1 0.000 0.000 0.000
Bi1 0.000 0.000 0.500
Hf1 0.500 0.500 0.500
Bi2 0.500 0.000 0.000

Results
The value obtained for the total energy is -6.470 eV per atom. The value obtained for the density of states at the Fermi level is 4.6 states/eV/cell. For the energy of formation, the calculation gives 440.7 kJ/mol of formula units.